[1]
Entry from Alexandria: InHSe2 after structural relaxation (PBE).

Cell: 5.5855 5.5855 6.8182 Å, 65.82 65.82 90.00°
Fractional positions:
Se1 0.3750 0.4383 0.7500
Se2 0.5617 0.1250 0.2500
Se3 0.8750 0.8117 0.7500
Se4 0.1883 0.6250 0.2500
In1 0.0000 0.0000 0.0000
In2 0.7500 0.2500 0.5000
H1 0.5000 0.5000 0.0000
H2 0.2500 0.7500 0.5000

---

[2]
Entry from Alexandria: InHSe2 after structural relaxation (PBE).

Cell: 4.7616 4.7616 4.7616 Å, 60.00 60.00 60.00°
Last column: magnetic moment on the atom in μB.
Fractional positions:
Se1 0.7500 0.7500 0.7500  0.04
Se2 0.2500 0.2500 0.2500  0.04
In1 0.5000 0.5000 0.5000  0.04
H1 0.0000 0.0000 0.0000  0.28

---

no.,energy relative to the lowest polymorph listed for this composition (eV per formula unit),VASP energy (eV/cell)
1,1.26,-26.3
2,3.45,-11.0